Entry 1:
{"formula": "MnAgHg", "functional": "PBEsol", "state": "optimized geometry", "cell": [[3.052, 0.000, 0.000], [0.000, 3.857, 0.000], [0.000, 0.000, 8.668]], "species": ["Mn", "Mn", "Ag", "Ag", "Hg", "Hg"], "frac_coords": [[0.000, 0.000, 0.000], [0.500, 0.500, 0.500], [0.000, 0.000, 0.661], [0.500, 0.500, 0.161], [0.000, 0.000, 0.334], [0.500, 0.500, 0.834]], "spacegroup": "Imm2, No. 44", "delta_e_f_kj_per_mol_atoms": 24.7}

Entry 2:
{"formula": "Ba4Br6O", "functional": "PBEsol", "state": "optimized geometry", "cell": [[6.157, 0.000, 0.000], [0.000, 11.865, 0.000], [0.000, 0.000, 22.727]], "species": ["Ba", "Ba", "Ba", "Ba", "Ba", "Ba", "Ba", "Ba", "Ba", "Ba", "Ba", "Ba", "Ba", "Ba", "Ba", "Ba", "Br", "Br", "Br", "Br", "Br", "Br", "Br", "Br", "Br", "Br", "Br", "Br", "Br", "Br", "Br", "Br", "Br", "Br", "Br", "Br", "Br", "Br", "Br", "Br", "O", "O", "O", "O"], "frac_coords": [[0.022, 0.218, 0.207], [0.026, 0.361, 0.428], [0.027, 0.408, 0.049], [0.084, 0.513, 0.689], [0.416, 0.487, 0.189], [0.473, 0.592, 0.549], [0.474, 0.639, 0.928], [0.478, 0.782, 0.707], [0.522, 0.282, 0.793], [0.526, 0.139, 0.572], [0.527, 0.092, 0.951], [0.584, 0.987, 0.311], [0.916, 0.013, 0.811], [0.973, 0.908, 0.451], [0.974, 0.861, 0.072], [0.978, 0.718, 0.293], [0.008, 0.444, 0.293], [0.020, 0.155, 0.531], [0.025, 0.260, 0.751], [0.025, 0.991, 0.948], [0.027, 0.132, 0.351], [0.187, 0.650, 0.425], [0.313, 0.350, 0.925], [0.473, 0.868, 0.851], [0.475, 0.009, 0.448], [0.475, 0.740, 0.251], [0.480, 0.845, 0.031], [0.492, 0.556, 0.793], [0.508, 0.056, 0.707], [0.520, 0.345, 0.469], [0.525, 0.240, 0.249], [0.525, 0.509, 0.052], [0.527, 0.368, 0.649], [0.687, 0.850, 0.575], [0.813, 0.150, 0.075], [0.973, 0.632, 0.149], [0.975, 0.491, 0.552], [0.975, 0.760, 0.749], [0.980, 0.655, 0.969], [0.992, 0.944, 0.207], [0.155, 0.365, 0.145], [0.345, 0.635, 0.645], [0.655, 0.135, 0.855], [0.845, 0.865, 0.355]], "raw_formation_energy_ev_per_fu": -24.32, "spacegroup": "P2_12_12_1, No. 19"}

Entry 3:
{"formula": "BeAs2W", "functional": "PBEsol", "state": "optimized geometry", "cell": [[3.673, 0.000, 0.000], [0.000, 3.673, 0.000], [0.000, 0.000, 8.688]], "species": ["Be", "Be", "As", "As", "As", "As", "W", "W"], "frac_coords": [[0.000, 0.000, 0.000], [0.500, 0.500, 0.500], [0.000, 0.000, 0.500], [0.000, 0.500, 0.750], [0.500, 0.000, 0.250], [0.500, 0.500, 0.000], [0.000, 0.500, 0.250], [0.500, 0.000, 0.750]], "spacegroup": "I-4m2, No. 119", "delta_e_f_kj_per_mol_atoms": 53.7}

Entry 4:
{"formula": "TaIn2Te", "functional": "PBEsol", "state": "optimized geometry", "cell": [[3.555, 0.000, 0.000], [0.000, 5.180, 0.000], [0.000, 0.000, 10.385]], "species": ["Ta", "Ta", "In", "In", "In", "In", "Te", "Te"], "frac_coords": [[0.000, 0.000, 0.000], [0.500, 0.500, 0.000], [0.000, 0.000, 0.525], [0.000, 0.500, 0.777], [0.500, 0.000, 0.777], [0.500, 0.500, 0.525], [0.000, 0.500, 0.202], [0.500, 0.000, 0.202]], "raw_formation_energy_ev_per_fu": 0.65, "spacegroup": "Cmm2, No. 35"}

Number 1: density of states at the Fermi level 0.447 states/eV/atom. Number 2: density of states at the Fermi level 0.000 states/eV/atom. Number 3: density of states at the Fermi level 0.894 states/eV/atom. Number 4: density of states at the Fermi level 0.472 states/eV/atom.